(1)
Ac2Pr4Tl3H2: relaxed, GGA-PBE.

Unit cell a=5.023 b=5.023 c=13.559 alpha=100.67 beta=100.67 gamma=90.00
Positions (direct):
1 H 0.598 0.598 0.197
2 Tl 0.832 0.832 0.663
3 Ac 0.699 0.699 0.398
4 Ac 0.301 0.301 0.602
5 H 0.402 0.402 0.803
6 Pr 0.918 0.418 0.837
7 Tl 0.000 0.000 0.000
8 Tl 0.168 0.168 0.337
9 Pr 0.082 0.582 0.163
10 Pr 0.418 0.918 0.837
11 Pr 0.582 0.082 0.163

- Total DFT energy (no corrections): -4.054 eV/atom

(2)
Zn2SiPPd: relaxed, GGA-PBE.

Unit cell a=4.785 b=4.501 c=4.785 alpha=90.00 beta=90.00 gamma=90.00
Positions (direct):
1 Pd 0.000 0.000 0.000
2 Zn 0.000 0.000 0.500
3 P 0.500 0.500 0.500
4 Zn 0.500 0.000 0.000
5 Si 0.000 0.500 0.000

- Total DFT energy (no corrections): -3.233 eV/atom
- Formation energy (no corrections): 0.48 eV per atom

(3)
Zn2CdSb: relaxed, GGA-PBE.

Unit cell a=4.375 b=4.375 c=6.727 alpha=78.26 beta=78.26 gamma=44.25
Positions (direct):
1 Sb 0.750 0.750 0.750
2 Zn 0.506 0.506 0.495
3 Zn 0.994 0.994 0.005
4 Cd 0.250 0.250 0.250

- Total DFT energy (no corrections): -1.776 eV/atom
- Formation energy (no corrections): 0.12 eV per atom
- Energy above the most stable polymorph in this dataset: 23.6 meV/atom

(4)
Hf2CoTcH: relaxed, GGA-PBE.

Unit cell a=4.511 b=4.511 c=3.353 alpha=90.00 beta=90.00 gamma=90.00
Positions (direct):
1 Hf 0.500 0.000 0.000
2 H 0.000 0.000 0.000
3 Tc 0.500 0.500 0.500
4 Co 0.000 0.000 0.500
5 Hf 0.000 0.500 0.000

- Total DFT energy (no corrections): -8.606 eV/atom
- Energy above the most stable polymorph in this dataset: 0.0 meV/atom

(5)
CsSr2PmBr8: relaxed, GGA-PBE.

Unit cell a=7.270 b=7.046 c=9.738 alpha=89.93 beta=89.97 gamma=89.69
Positions (direct):
1 Br 0.603 0.735 0.500
2 Br 0.160 0.758 0.205
3 Pm 0.000 0.000 0.000
4 Br 0.675 0.745 0.000
5 Br 0.397 0.265 0.500
6 Cs 0.000 0.000 0.500
7 Sr 0.500 0.500 0.749
8 Br 0.840 0.242 0.795
9 Br 0.161 0.758 0.795
10 Br 0.839 0.242 0.205
11 Br 0.325 0.255 0.000
12 Sr 0.500 0.500 0.251

- Total DFT energy (no corrections): -3.816 eV/atom
- Formation energy (no corrections): -1.95 eV per atom

(6)
CsCuTe6As: relaxed, GGA-PBE.

Unit cell a=10.274 b=8.601 c=9.902 alpha=115.74 beta=121.25 gamma=90.00
Positions (direct):
1 Te 0.598 0.915 0.785
2 Te 0.402 0.629 0.215
3 Te 0.374 0.624 0.748
4 As 0.500 0.000 0.500
5 Cs 0.103 0.353 0.207
6 Cs 0.897 0.647 0.793
7 As 0.000 0.000 0.500
8 Te 0.812 0.629 0.215
9 Te 0.840 0.090 0.679
10 Te 0.812 0.085 0.215
11 Te 0.598 0.371 0.785
12 Te 0.626 0.376 0.252
13 Te 0.160 0.910 0.321
14 Te 0.402 0.085 0.215
15 Te 0.188 0.371 0.785
16 Cu 0.500 0.000 0.000
17 Te 0.188 0.915 0.785
18 Cu 0.500 0.500 0.000

- Total DFT energy (no corrections): -3.258 eV/atom
- Formation energy (no corrections): -0.10 eV per atom